## one
Entry from Alexandria: a relaxed Na3AuF6 crystal (PBE).

It has space group Cmc2_1 (No. 36), with a = 8.2896 Å, b = 11.8183 Å, c = 6.1151 Å, α = 90.00°, β = 90.00° and γ = 90.00°. The distinct sites, in fractional coordinates, are Na at (0.0000, 0.1528, 0.0000), Na at (0.2415, 0.1225, 0.4734), Au at (0.0000, 0.3688, 0.5945), F at (0.0000, 0.2843, 0.3177), F at (0.0000, 0.4429, 0.8824), F at (0.1647, 0.2325, 0.7497) and F at (0.2304, 0.0567, 0.1036).

Its density of states at the Fermi level is 7.00 states/eV/cell. As for the theoretical density: 4.21 g/cm³.

## two
Entry from Alexandria: a relaxed Na3AuF6 crystal (PBE).

It has space group Fm-3m (No. 225), with a = 8.6155 Å, b = 8.6155 Å, c = 8.6155 Å, α = 90.00°, β = 90.00° and γ = 90.00°. The distinct sites, in fractional coordinates, are Na at (0.0000, 0.0000, 0.0000), Na at (0.2500, 0.2500, 0.2500), Au at (0.0000, 0.0000, 0.5000) and F at (0.0000, 0.0000, 0.2534).

As for the theoretical density: 3.95 g/cm³.

Which of them is the most stable, and which is the least stable? one and two, in that order.

## one
Entry from Alexandria: a relaxed Na2AuF5 crystal (PBE).

It has space group P-1 (No. 2), with a = 5.2934 Å, b = 5.7037 Å, c = 5.7633 Å, α = 70.75°, β = 65.50° and γ = 63.54°. The distinct sites, in fractional coordinates, are Na at (0.2488, 0.1792, 0.2763), Au at (0.5000, 0.5000, 0.5000), F at (0.0000, 0.5000, 0.5000), F at (0.2504, 0.8230, 0.6617) and F at (0.4630, 0.2523, 0.8371).

Its density of states at the Fermi level is 0.43 states/eV/cell. As for the theoretical density: 4.02 g/cm³.

## two
Entry from Alexandria: a relaxed Na2AuF5 crystal (PBE).

It has space group P1 (No. 1), with a = 3.8602 Å, b = 5.6633 Å, c = 6.1889 Å, α = 110.06°, β = 100.07° and γ = 94.63°. The distinct sites, in fractional coordinates, are Na at (0.0000, 0.0000, 0.0000), Na at (0.2293, 0.3464, 0.7031), Au at (0.6742, 0.6899, 0.3345), F at (0.0359, 0.9754, 0.3744), F at (0.3199, 0.3984, 0.2901), F at (0.4550, 0.7318, 0.0378), F at (0.7358, 0.2216, 0.8188) and F at (0.9003, 0.6614, 0.6331).

As for the theoretical density: 4.54 g/cm³.

Which of them is the most stable, and which is the least stable? two and one, in that order.